TmZnInO4: relaxed, PBE.

Geometry as POSCAR:
```
TmZnInO4
1.0
-3.723 -4.252 0.125
4.258 -0.350 3.702
-3.694 3.368 4.567
Tm Zn In O
2 2 2 8
Direct
0.500 0.500 0.500
0.500 0.500 0.000
0.157 0.843 0.250
0.843 0.157 0.750
0.842 0.158 0.250
0.158 0.842 0.750
0.243 0.251 0.750
0.749 0.757 0.750
0.731 0.269 0.990
0.731 0.269 0.510
0.269 0.731 0.010
0.269 0.731 0.490
0.757 0.749 0.250
0.251 0.243 0.250
```

Output
Its space group is Cmcm (63). The raw total energy comes out at -87.10 eV per cell. As for the uncorrected formation energy: -2.1765 eV/atom.

---

CoBiI2: relaxed, PBE.

Geometry as POSCAR:
```
CoBiI2
1.0
3.844 -2.389 2.928
-1.160 -4.393 2.901
1.932 -4.805 -1.495
I Co Bi
2 1 1
Direct
0.250 0.250 0.250
0.750 0.750 0.750
0.000 0.000 0.000
0.500 0.500 0.500
```

Output
Its polymorph energy (0 for the lowest one) is 621 meV per atom. Its space group is Fm-3m (225). The raw total energy comes out at -10.98 eV per cell. As for the uncorrected formation energy: 0.7766 eV/atom. As for the density of states at the Fermi level: 7.1 states/eV/f.u.

---

LaThTeP: relaxed, PBE.

Geometry as POSCAR:
```
LaThTeP
1.0
-3.660 1.783 -1.050
0.132 -4.070 1.048
1.188 2.025 7.713
La Th Te P
1 1 1 1
Direct
0.108 0.952 0.076
0.495 0.146 0.656
0.973 0.385 0.373
0.301 0.548 0.865
```

Output
Its space group is R3m (160). The raw total energy comes out at -26.88 eV per cell. As for the uncorrected formation energy: -1.4946 eV/atom. As for the density of states at the Fermi level: 0.9 states/eV/f.u.

---

PmIn3Au4: relaxed, PBE.

Geometry as POSCAR:
```
PmIn3Au4
1.0
-2.874 -3.308 1.680
-1.954 -3.113 -2.918
5.662 -7.841 0.799
In Au Pm
3 4 1
Direct
0.250 0.250 0.250
0.750 0.750 0.750
0.500 0.500 0.500
0.875 0.875 0.376
0.387 0.387 0.838
0.125 0.125 0.624
0.613 0.613 0.162
0.000 0.000 0.000
```

Output
Its space group is R-3m (166). The raw total energy comes out at -29.35 eV per cell. For the formation energy, the calculation gives -0.4088 eV per atom. As for the density of states at the Fermi level: 2.4 states/eV/f.u.

---

Pm5Er4Tl: relaxed, PBE.

Geometry as POSCAR:
```
Pm5Er4Tl
1.0
5.929 0.000 0.000
2.965 7.522 0.000
2.965 0.000 7.522
Pm Er Tl
5 4 1
Direct
0.762 0.375 0.000
0.138 0.000 0.625
0.762 0.000 0.375
0.138 0.625 0.000
0.665 0.000 0.000
0.465 0.321 0.679
0.786 0.679 0.679
0.144 0.321 0.321
0.465 0.679 0.321
0.186 0.000 0.000
```

Output
Its polymorph energy (0 for the lowest one) is 156 meV per atom. Its space group is I4mm (107). The raw total energy comes out at -42.66 eV per cell. For the formation energy, the calculation gives 0.1714 eV per atom. As for the density of states at the Fermi level: 14.2 states/eV/f.u.

---

GdDyYTl: relaxed, PBE.

Geometry as POSCAR:
```
GdDyYTl
1.0
5.487 0.000 0.000
2.743 4.752 0.000
2.743 1.584 4.480
Y Tl Gd Dy
1 1 1 1
Direct
0.750 0.750 0.750
0.500 0.500 0.500
0.250 0.250 0.250
0.000 0.000 0.000
```

Output
Its space group is F-43m (216). The raw total energy comes out at -27.76 eV per cell. For the formation energy, the calculation gives -0.0621 eV per atom. As for the density of states at the Fermi level: 4.7 states/eV/f.u.

---

FeNiPd: relaxed, PBE.

Geometry as POSCAR:
```
FeNiPd
1.0
-1.701 2.065 0.199
-1.434 -1.356 1.817
4.570 1.740 2.925
Ni Fe Pd
1 1 1
Direct
0.324 0.324 0.649
0.675 0.675 0.350
0.000 0.000 0.001
```

Output
Its polymorph energy (0 for the lowest one) is 13 meV per atom. Its space group is I4mm (107). The raw total energy comes out at -19.55 eV per cell. For the formation energy, the calculation gives -0.0381 eV per atom. As for the density of states at the Fermi level: 2.4 states/eV/f.u.

---

GaReSe2N: relaxed, PBE.

Geometry as POSCAR:
```
GaReSe2N
1.0
-1.837 3.885 2.735
-2.126 -3.295 3.251
2.915 0.021 1.928
Re Ga Se N
1 1 2 1
Direct
0.500 0.500 0.500
0.000 0.000 0.000
0.000 0.500 0.000
0.500 0.000 0.000
0.000 0.000 0.500
```

Output
Its polymorph energy (0 for the lowest one) is 1132 meV per atom. Its space group is P4/mmm (123). The raw total energy comes out at -24.07 eV per cell. As for the uncorrected formation energy: 1.3397 eV/atom. As for the density of states at the Fermi level: 3.0 states/eV/f.u.

---

GePbAu4: relaxed, PBE.

Geometry as POSCAR:
```
GePbAu4
1.0
0.003 1.747 -4.190
-3.575 -4.254 -1.776
-8.143 4.956 4.521
Ge Pb Au
2 2 8
Direct
0.102 0.750 0.203
0.898 0.250 0.797
0.395 0.750 0.789
0.605 0.250 0.211
0.207 0.485 0.415
0.793 0.515 0.585
0.207 0.015 0.415
0.793 0.985 0.585
0.662 0.750 0.325
0.338 0.250 0.675
0.000 0.500 0.000
0.000 0.000 0.000
```

Output
Its polymorph energy (0 for the lowest one) is 31 meV per atom. Its space group is Cmcm (63). The raw total energy comes out at -42.64 eV per cell. For the formation energy, the calculation gives 0.0196 eV per atom. As for the density of states at the Fermi level: 2.3 states/eV/f.u.

---

FeRhPb: relaxed, PBE.

Geometry as POSCAR:
```
FeRhPb
1.0
4.366 0.000 0.000
2.183 3.781 0.000
2.183 1.260 3.565
Fe Pb Rh
1 1 1
Direct
0.000 0.000 0.000
0.500 0.500 0.500
0.750 0.750 0.750
```

Output
Its polymorph energy (0 for the lowest one) is 0 meV per atom. Its space group is F-43m (216). The raw total energy comes out at -18.80 eV per cell. For the formation energy, the calculation gives 0.2424 eV per atom. As for the density of states at the Fermi level: 1.6 states/eV/f.u.

---

USiC: relaxed, PBE.

Geometry as POSCAR:
```
USiC
1.0
-1.750 2.708 0.957
-0.872 -3.048 1.121
2.552 0.484 3.298
Si U C
1 1 1
Direct
0.667 0.333 0.167
0.333 0.667 0.667
0.000 0.000 0.167
```

Output
Its polymorph energy (0 for the lowest one) is 0 meV per atom. Its space group is P-6m2 (187). The raw total energy comes out at -25.67 eV per cell. As for the uncorrected formation energy: 0.0877 eV/atom. As for the density of states at the Fermi level: 4.2 states/eV/f.u.

---

Sr2GePdAu6: relaxed, PBE.

Geometry as POSCAR:
```
Sr2GePdAu6
1.0
6.792 -0.247 0.985
-0.346 7.222 -1.378
3.993 2.580 4.979
Sr Ge Pd Au
2 1 1 6
Direct
0.726 0.188 0.538
0.274 0.812 0.462
0.500 0.500 0.000
0.000 0.000 0.000
0.243 0.258 0.492
0.754 0.612 0.141
0.250 0.742 0.015
0.750 0.258 0.985
0.246 0.388 0.859
0.757 0.742 0.508
```

Output
Its space group is P-1 (2). The raw total energy comes out at -37.33 eV per cell. For the formation energy, the calculation gives -0.4489 eV per atom. As for the density of states at the Fermi level: 4.1 states/eV/f.u.